## La2Zn2Cu (GGA-PBE)

Data for a relaxed La2Zn2Cu crystal.

Summary:
E above lowest polymorph	0.3065	eV per atom
E_form	0.030	eV per atom
magnetic moment	0.178	μB per atom

Cell lengths 6.0044, 6.0044, 7.2179 Å; angles 90.00, 90.00, 90.00 degrees
Closest atoms and distances in Å follow each position.
Space group I4/mmm (No. 139)
Asymmetric unit:
La1 0.0000 0.5000 0.2500 [4 per cell]  4 Zn 3.07
Zn1 0.0000 0.0000 0.1602 [4 per cell]  1 Zn 2.31, 1 Cu 2.45
Cu1 0.0000 0.0000 0.5000 [2 per cell]  2 Zn 2.45

***

## Hf3CrBr (GGA-PBE)

Data for a relaxed Hf3CrBr crystal.

Summary:
E above lowest polymorph	0.0000	eV per atom
uncorrected formation energy	658	meV/atom
magnetic moment	0.204	μB per atom

Cell lengths 4.8997, 4.8997, 4.8997 Å; angles 90.00, 90.00, 90.00 degrees
Closest atoms and distances in Å follow each position.
Space group Pm-3m (No. 221)
Asymmetric unit:
Hf1 0.0000 0.0000 0.5000 [3 per cell]  2 Cr 2.45
Cr1 0.0000 0.0000 0.0000 [1 per cell]  6 Hf 2.45
Br1 0.5000 0.5000 0.5000 [1 per cell]  12 Hf 3.46

***

## Pd5PtAu6 (GGA-PBE)

Data for a relaxed Pd5PtAu6 crystal.

Summary:
E_form	-0.043	eV per atom
magnetic moment	0.000	μB per atom

Cell lengths 4.0514, 8.0807, 12.2208 Å; angles 90.00, 90.00, 90.00 degrees
Closest atoms and distances in Å follow each position.
Space group Immm (No. 71)
Asymmetric unit:
Pd1 0.0000 0.0000 0.0000 [2 per cell]  8 Au 2.85-2.87, 4 Pd 2.88
Pd2 0.0000 0.0000 0.3346 [4 per cell]  2 Pt 2.86, 8 Au 2.87, 2 Pd 2.88
Pd3 0.0000 0.5000 0.3325 [4 per cell]  8 Au 2.86-2.87, 4 Pd 2.88
Pt1 0.0000 0.5000 0.0000 [2 per cell]  4 Pd 2.86, 8 Au 2.87-2.88
Au1 0.0000 0.2492 0.1669 [8 per cell]  7 Pd 2.86-2.87, 4 Au 2.87, 1 Pt 2.88
Au2 0.0000 0.2516 0.5000 [4 per cell]  6 Pd 2.85-2.87, 2 Pt 2.87, 4 Au 2.87